Tc2MoF2 | Alexandria via LeMat-Bulk | GGA+U | optimized geometry; magnetization = 3.39 μB per formula unit; DOS at the Fermi energy = 3.53 states/eV per cell; E_tot = -6.203 eV per atom
1.0
-1.0214 -0.1267 -3.9067
-3.2139 -2.2710 0.9139
-2.7719 4.1600 0.5898
Mo Tc F
1 2 2
direct
0.5000 0.5000 0.5000
0.0000 0.0000 0.0000
0.0000 0.0000 0.5000
0.0000 0.5000 0.0000
0.5000 0.0000 0.0000